Entry 1:
# PBE-GGA CeYGe2, optimized geometry
data_CeYGe2
_cell_length_a 3.363
_cell_length_b 3.363
_cell_length_c 8.111
_cell_angle_alpha 90.00
_cell_angle_beta 90.00
_cell_angle_gamma 90.00
_space_group_name_H-M_alt 'P 4/m m m'
_space_group_IT_number 123
_space_group_name_Hall '-P 4 2'
loop_
_atom_site_label
_atom_site_fract_x
_atom_site_fract_y
_atom_site_fract_z
_atom_site_occupancy
Ce1 0.000 0.000 0.000 1
Y1 0.000 0.000 0.500 1
Ge1 0.500 0.500 0.255 1
# Energy of formation from the pure elements   -0.64 eV/atom
# V   22.9 Å³/atom
# Calculated total energy   -6.044 eV per atom


Entry 2:
# PBE-GGA Ce3YGe2, optimized geometry
data_Ce3YGe2
_cell_length_a 17.354
_cell_length_b 4.140
_cell_length_c 8.897
_cell_angle_alpha 90.00
_cell_angle_beta 115.19
_cell_angle_gamma 90.00
_space_group_name_H-M_alt 'C 1 2/m 1'
_space_group_IT_number 12
loop_
_space_group_symop_operation_xyz
'x,y,z'
'-x,-y,-z'
'-x,y,-z'
'x,-y,z'
'x+1/2,y+1/2,z'
'-x+1/2,-y+1/2,-z'
'-x+1/2,y+1/2,-z'
'x+1/2,-y+1/2,z'
loop_
_atom_site_label
_atom_site_fract_x
_atom_site_fract_y
_atom_site_fract_z
_atom_site_occupancy
Ce1 0.069 0.000 0.441 1
Ce2 0.121 0.500 0.680 1
Ce3 0.218 0.500 0.397 1
Y1 0.109 0.000 0.032 1
Ge1 0.022 0.500 0.169 1
Ge2 0.249 0.500 0.092 1
# Energy of formation from the pure elements   -0.51 eV/atom
# V   24.1 Å³/atom
# Calculated total energy   -6.092 eV per atom


Entry 3:
# PBE-GGA Ce2YGe2, optimized geometry
data_Ce2YGe2
_cell_length_a 5.832
_cell_length_b 4.837
_cell_length_c 9.452
_cell_angle_alpha 90.00
_cell_angle_beta 104.91
_cell_angle_gamma 90.00
_space_group_name_H-M_alt 'P 1 21/m 1'
_space_group_IT_number 11
loop_
_space_group_symop_operation_xyz
'x,y,z'
'-x,-y,-z'
'-x,y+1/2,-z'
'x,-y+1/2,z'
loop_
_atom_site_label
_atom_site_fract_x
_atom_site_fract_y
_atom_site_fract_z
_atom_site_occupancy
Ce1 0.130 0.250 0.016 1
Ce2 0.231 0.750 0.368 1
Y1 0.277 0.750 0.750 1
Ge1 0.234 0.250 0.542 1
Ge2 0.419 0.750 0.105 1
# Energy of formation from the pure elements   -0.51 eV/atom
# V   25.8 Å³/atom
# Calculated total energy   -6.027 eV per atom
# Relative energy among the computed polymorphs   220.7 meV per atom


Entry 4:
# PBE-GGA CeY2Ge4, optimized geometry
data_CeY2Ge4
_cell_length_a 4.042
_cell_length_b 4.296
_cell_length_c 18.320
_cell_angle_alpha 90.00
_cell_angle_beta 90.00
_cell_angle_gamma 90.00
_space_group_name_H-M_alt 'I m m m'
_space_group_IT_number 71
_space_group_name_Hall '-I 2 2'
loop_
_atom_site_label
_atom_site_fract_x
_atom_site_fract_y
_atom_site_fract_z
_atom_site_occupancy
Ce1 0.000 0.000 0.000 1
Y1 0.000 0.500 0.318 1
Ge1 0.000 0.000 0.433 1
Ge2 0.000 0.500 0.158 1
# Energy of formation from the pure elements   -0.75 eV/atom
# V   22.7 Å³/atom
# Calculated total energy   -6.087 eV per atom


Entry 5:
# PBE-GGA Ce2YGe, optimized geometry
data_Ce2YGe
_cell_length_a 3.7964
_cell_length_b 3.7964
_cell_length_c 28.9082
_cell_angle_alpha 90.00
_cell_angle_beta 90.00
_cell_angle_gamma 120.00
_space_group_name_H-M_alt 'R -3 m'
_space_group_IT_number 166
_space_group_name_Hall '-R 3 2"'
loop_
_atom_site_label
_atom_site_fract_x
_atom_site_fract_y
_atom_site_fract_z
_atom_site_occupancy
Ce1 0.0000 0.0000 0.2334 1
Y1 0.0000 0.0000 0.0000 1
Ge1 0.0000 0.0000 0.5000 1
# Energy of formation from the pure elements   -0.10 eV/atom
# V   30.1 Å³/atom
# Calculated total energy   -5.837 eV per atom
# Relative energy among the computed polymorphs   275.4 meV per atom


Entry 6:
# PBE-GGA Ce2YGe2, optimized geometry
data_Ce2YGe2
_cell_length_a 7.959
_cell_length_b 7.959
_cell_length_c 4.046
_cell_angle_alpha 90.00
_cell_angle_beta 90.00
_cell_angle_gamma 90.00
_space_group_name_H-M_alt 'P 4/m b m'
_space_group_IT_number 127
_space_group_name_Hall '-P 4 2ab'
loop_
_atom_site_label
_atom_site_fract_x
_atom_site_fract_y
_atom_site_fract_z
_atom_site_occupancy
Ce1 0.127 0.373 0.000 1
Y1 0.000 0.000 0.500 1
Ge1 0.168 0.668 0.500 1
# Energy of formation from the pure elements   -0.73 eV/atom
# V   25.6 Å³/atom
# Calculated total energy   -6.248 eV per atom
# Relative energy among the computed polymorphs   0.0 meV per atom


Entry 7:
# PBE-GGA CeYGe2, optimized geometry
data_CeYGe2
_cell_length_a 4.033
_cell_length_b 4.370
_cell_length_c 10.869
_cell_angle_alpha 90.00
_cell_angle_beta 90.00
_cell_angle_gamma 90.00
_space_group_name_H-M_alt 'A m m 2'
_space_group_IT_number 38
loop_
_space_group_symop_operation_xyz
'x,y,z'
'-x,-y,z'
'-x,y,z'
'x,-y,z'
'x,y+1/2,z+1/2'
'-x,-y+1/2,z+1/2'
'-x,y+1/2,z+1/2'
'x,-y+1/2,z+1/2'
loop_
_atom_site_label
_atom_site_fract_x
_atom_site_fract_y
_atom_site_fract_z
_atom_site_occupancy
Ce1 0.000 0.000 0.000 1
Y1 0.500 0.000 0.275 1
Ge1 0.000 0.000 0.723 1
Ge2 0.500 0.000 0.554 1
# Energy of formation from the pure elements   -0.79 eV/atom
# V   23.9 Å³/atom
# Calculated total energy   -6.197 eV per atom


Entry 8:
# PBE-GGA CeYGe2, optimized geometry
data_CeYGe2
_cell_length_a 4.2398
_cell_length_b 4.2398
_cell_length_c 20.1680
_cell_angle_alpha 90.00
_cell_angle_beta 90.00
_cell_angle_gamma 120.00
_space_group_name_H-M_alt 'R -3 m'
_space_group_IT_number 166
_space_group_name_Hall '-R 3 2"'
loop_
_atom_site_label
_atom_site_fract_x
_atom_site_fract_y
_atom_site_fract_z
_atom_site_occupancy
Ce1 0.0000 0.0000 0.0000 1
Y1 0.0000 0.0000 0.5000 1
Ge1 0.0000 0.0000 0.2510 1
# Energy of formation from the pure elements   -0.67 eV/atom
# V   26.2 Å³/atom
# Calculated total energy   -6.077 eV per atom


Entry 9:
# PBE-GGA Ce3YGe4, optimized geometry
data_Ce3YGe4
_cell_length_a 4.083
_cell_length_b 6.480
_cell_length_c 15.962
_cell_angle_alpha 90.00
_cell_angle_beta 90.00
_cell_angle_gamma 90.00
_space_group_name_H-M_alt 'I m m m'
_space_group_IT_number 71
_space_group_name_Hall '-I 2 2'
loop_
_atom_site_label
_atom_site_fract_x
_atom_site_fract_y
_atom_site_fract_z
_atom_site_occupancy
Ce1 0.000 0.000 0.000 1
Ce2 0.000 0.500 0.196 1
Y1 0.000 0.000 0.500 1
Ge1 0.000 0.306 0.370 1
# Energy of formation from the pure elements   -0.62 eV/atom
# V   26.4 Å³/atom
# Calculated total energy   -5.966 eV per atom


Entry 10:
# PBE-GGA Ce2Y3Ge4, optimized geometry
data_Ce2Y3Ge4
_cell_length_a 7.985
_cell_length_b 7.865
_cell_length_c 7.681
_cell_angle_alpha 90.00
_cell_angle_beta 111.55
_cell_angle_gamma 90.00
_space_group_name_H-M_alt 'P 1 21/c 1'
_space_group_IT_number 14
loop_
_space_group_symop_operation_xyz
'x,y,z'
'-x,-y,-z'
'-x,y+1/2,-z+1/2'
'x,-y+1/2,z+1/2'
loop_
_atom_site_label
_atom_site_fract_x
_atom_site_fract_y
_atom_site_fract_z
_atom_site_occupancy
Ce1 0.196 0.181 0.064 1
Y1 0.240 0.664 0.232 1
Y2 0.500 0.000 0.500 1
Ge1 0.087 0.536 0.828 1
Ge2 0.492 0.131 0.869 1
# Energy of formation from the pure elements   -0.83 eV/atom
# V   24.9 Å³/atom
# Calculated total energy   -6.357 eV per atom


Entry 11:
# PBE-GGA Ce3Zn2Ge4, optimized geometry
data_Ce3Zn2Ge4
_cell_length_a 11.294
_cell_length_b 4.275
_cell_length_c 8.677
_cell_angle_alpha 90.00
_cell_angle_beta 113.21
_cell_angle_gamma 90.00
_space_group_name_H-M_alt 'C 1 2/m 1'
_space_group_IT_number 12
loop_
_space_group_symop_operation_xyz
'x,y,z'
'-x,-y,-z'
'-x,y,-z'
'x,-y,z'
'x+1/2,y+1/2,z'
'-x+1/2,-y+1/2,-z'
'-x+1/2,y+1/2,-z'
'x+1/2,-y+1/2,z'
loop_
_atom_site_label
_atom_site_fract_x
_atom_site_fract_y
_atom_site_fract_z
_atom_site_occupancy
Ce1 0.000 0.000 0.000 1
Ce2 0.119 0.500 0.678 1
Zn1 0.180 0.500 0.327 1
Ge1 0.096 0.000 0.396 1
Ge2 0.217 0.500 0.057 1
# Energy of formation from the pure elements   -0.58 eV/atom
# V   21.4 Å³/atom
# Calculated total energy   -4.892 eV per atom


Entry 12:
# PBE-GGA Ce2Zn3Ge2, optimized geometry
data_Ce2Zn3Ge2
_cell_length_a 10.316
_cell_length_b 4.421
_cell_length_c 6.543
_cell_angle_alpha 90.00
_cell_angle_beta 109.00
_cell_angle_gamma 90.00
_space_group_name_H-M_alt 'C 1 2/m 1'
_space_group_IT_number 12
loop_
_space_group_symop_operation_xyz
'x,y,z'
'-x,-y,-z'
'-x,y,-z'
'x,-y,z'
'x+1/2,y+1/2,z'
'-x+1/2,-y+1/2,-z'
'-x+1/2,y+1/2,-z'
'x+1/2,-y+1/2,z'
loop_
_atom_site_label
_atom_site_fract_x
_atom_site_fract_y
_atom_site_fract_z
_atom_site_occupancy
Ce1 0.149 0.000 0.271 1
Zn1 0.000 0.500 0.500 1
Zn2 0.093 0.500 0.919 1
Ge1 0.155 0.000 0.756 1
# Energy of formation from the pure elements   -0.46 eV/atom
# V   20.2 Å³/atom
# Calculated total energy   -4.017 eV per atom
# Relative energy among the computed polymorphs   0.0 meV per atom


Entry 13:
# PBE-GGA CeZnGe, optimized geometry
data_CeZnGe
_cell_length_a 4.049
_cell_length_b 4.049
_cell_length_c 8.398
_cell_angle_alpha 90.00
_cell_angle_beta 90.00
_cell_angle_gamma 90.00
_space_group_name_H-M_alt 'I 4 m m'
_space_group_IT_number 107
_space_group_name_Hall 'I 4 -2'
loop_
_atom_site_label
_atom_site_fract_x
_atom_site_fract_y
_atom_site_fract_z
_atom_site_occupancy
Ce1 0.000 0.000 0.000 1
Zn1 0.000 0.000 0.659 1
Ge1 0.000 0.000 0.351 1
# Energy of formation from the pure elements   -0.18 eV/atom
# V   22.9 Å³/atom
# Calculated total energy   -4.125 eV per atom


Entry 14:
# PBE-GGA Ce7Zn2Ge2, optimized geometry
data_Ce7Zn2Ge2
_cell_length_a 7.996
_cell_length_b 10.671
_cell_length_c 6.947
_cell_angle_alpha 90.00
_cell_angle_beta 90.00
_cell_angle_gamma 90.00
_space_group_name_H-M_alt 'C m m m'
_space_group_IT_number 65
_space_group_name_Hall '-C 2 2'
loop_
_atom_site_label
_atom_site_fract_x
_atom_site_fract_y
_atom_site_fract_z
_atom_site_occupancy
Ce1 0.000 0.000 0.000 1
Ce2 0.000 0.500 0.299 1
Ce3 0.250 0.250 0.306 1
Zn1 0.000 0.293 0.000 1
Ge1 0.157 0.000 0.500 1
# Energy of formation from the pure elements   -0.08 eV/atom
# V   26.9 Å³/atom
# Calculated total energy   -4.932 eV per atom


Entry 15:
# PBE-GGA CeZn3Ge2, optimized geometry
data_CeZn3Ge2
_cell_length_a 16.000
_cell_length_b 4.137
_cell_length_c 7.557
_cell_angle_alpha 90.00
_cell_angle_beta 115.45
_cell_angle_gamma 90.00
_space_group_name_H-M_alt 'C 1 2/m 1'
_space_group_IT_number 12
loop_
_space_group_symop_operation_xyz
'x,y,z'
'-x,-y,-z'
'-x,y,-z'
'x,-y,z'
'x+1/2,y+1/2,z'
'-x+1/2,-y+1/2,-z'
'-x+1/2,y+1/2,-z'
'x+1/2,-y+1/2,z'
loop_
_atom_site_label
_atom_site_fract_x
_atom_site_fract_y
_atom_site_fract_z
_atom_site_occupancy
Ce1 0.136 0.000 0.052 1
Zn1 0.052 0.000 0.410 1
Zn2 0.108 0.500 0.702 1
Zn3 0.191 0.500 0.463 1
Ge1 0.022 0.500 0.185 1
Ge2 0.215 0.000 0.740 1
# Energy of formation from the pure elements   -0.27 eV/atom
# V   18.8 Å³/atom
# Calculated total energy   -3.431 eV per atom


Entry 16:
# PBE-GGA Ce4ZnGe, optimized geometry
data_Ce4ZnGe
_cell_length_a 5.040
_cell_length_b 5.881
_cell_length_c 8.826
_cell_angle_alpha 90.00
_cell_angle_beta 90.00
_cell_angle_gamma 90.00
_space_group_name_H-M_alt 'I m m m'
_space_group_IT_number 71
_space_group_name_Hall '-I 2 2'
loop_
_atom_site_label
_atom_site_fract_x
_atom_site_fract_y
_atom_site_fract_z
_atom_site_occupancy
Ce1 0.000 0.246 0.168 1
Zn1 0.000 0.500 0.500 1
Ge1 0.000 0.000 0.500 1
# Energy of formation from the pure elements   -0.21 eV/atom
# V   21.8 Å³/atom
# Calculated total energy   -5.152 eV per atom


Entry 17:
# PBE-GGA CeZn3Ge3, optimized geometry
data_CeZn3Ge3
_cell_length_a 6.843
_cell_length_b 6.843
_cell_length_c 6.843
_cell_angle_alpha 90.00
_cell_angle_beta 90.00
_cell_angle_gamma 90.00
_space_group_name_H-M_alt 'P m -3 n'
_space_group_IT_number 223
_space_group_name_Hall '-P 4n 2 3'
loop_
_atom_site_label
_atom_site_fract_x
_atom_site_fract_y
_atom_site_fract_z
_atom_site_occupancy
Ce1 0.000 0.000 0.000 1
Zn1 0.000 0.250 0.500 1
Ge1 0.000 0.500 0.250 1
# Energy of formation from the pure elements   0.10 eV/atom
# V   22.9 Å³/atom
# Calculated total energy   -3.275 eV per atom


Entry 18:
# PBE-GGA Ce6ZnGe2, optimized geometry
data_Ce6ZnGe2
_cell_length_a 8.7488
_cell_length_b 8.7488
_cell_length_c 2.9860
_cell_angle_alpha 90.00
_cell_angle_beta 90.00
_cell_angle_gamma 120.00
_space_group_name_H-M_alt 'P 6/m m m'
_space_group_IT_number 191
_space_group_name_Hall '-P 6 2'
loop_
_atom_site_label
_atom_site_fract_x
_atom_site_fract_y
_atom_site_fract_z
_atom_site_occupancy
Ce1 0.0000 0.3300 0.0000 1
Zn1 0.0000 0.0000 0.5000 1
Ge1 0.3333 0.6667 0.5000 1
# Energy of formation from the pure elements   -0.24 eV/atom
# V   22.0 Å³/atom
# Calculated total energy   -5.368 eV per atom


Entry 19:
# PBE-GGA CeZn4Ge2, optimized geometry
data_CeZn4Ge2
_cell_length_a 7.835
_cell_length_b 7.835
_cell_length_c 4.160
_cell_angle_alpha 90.00
_cell_angle_beta 90.00
_cell_angle_gamma 90.00
_space_group_name_H-M_alt 'P 42/m n m'
_space_group_IT_number 136
_space_group_name_Hall '-P 4n 2n'
loop_
_atom_site_label
_atom_site_fract_x
_atom_site_fract_y
_atom_site_fract_z
_atom_site_occupancy
Ce1 0.000 0.000 0.000 1
Zn1 0.088 0.346 0.500 1
Ge1 0.210 0.790 0.500 1
# Energy of formation from the pure elements   -0.25 eV/atom
# V   18.2 Å³/atom
# Calculated total energy   -3.141 eV per atom
# Relative energy among the computed polymorphs   0.0 meV per atom


Entry 20:
# PBE-GGA CeZnGe, optimized geometry
data_CeZnGe
_cell_length_a 4.2402
_cell_length_b 4.2402
_cell_length_c 8.3604
_cell_angle_alpha 90.00
_cell_angle_beta 90.00
_cell_angle_gamma 120.00
_space_group_name_H-M_alt 'P 63/m m c'
_space_group_IT_number 194
_space_group_name_Hall '-P 6c 2c'
loop_
_atom_site_label
_atom_site_fract_x
_atom_site_fract_y
_atom_site_fract_z
_atom_site_occupancy
Ce1 0.0000 0.0000 0.0000 1
Zn1 0.3333 0.6667 0.2500 1
Ge1 0.3333 0.6667 0.7500 1
# Energy of formation from the pure elements   -0.57 eV/atom
# V   21.7 Å³/atom
# Calculated total energy   -4.512 eV per atom


Entry 21:
# PBE-GGA Ce3Zn2Ge3, optimized geometry
data_Ce3Zn2Ge3
_cell_length_a 4.269
_cell_length_b 11.248
_cell_length_c 14.660
_cell_angle_alpha 90.00
_cell_angle_beta 90.00
_cell_angle_gamma 90.00
_space_group_name_H-M_alt 'C m c m'
_space_group_IT_number 63
_space_group_name_Hall '-C 2c 2'
loop_
_atom_site_label
_atom_site_fract_x
_atom_site_fract_y
_atom_site_fract_z
_atom_site_occupancy
Ce1 0.000 0.068 0.110 1
Ce2 0.000 0.358 0.250 1
Zn1 0.000 0.228 0.597 1
Ge1 0.000 0.357 0.750 1
Ge2 0.000 0.377 0.044 1
# Energy of formation from the pure elements   -0.58 eV/atom
# V   22.0 Å³/atom
# Calculated total energy   -4.850 eV per atom


Entry 22:
# PBE-GGA Ce3ZnGe5, optimized geometry
data_Ce3ZnGe5
_cell_length_a 8.6219
_cell_length_b 8.6219
_cell_length_c 5.9782
_cell_angle_alpha 90.00
_cell_angle_beta 90.00
_cell_angle_gamma 120.00
_space_group_name_H-M_alt 'P 63/m c m'
_space_group_IT_number 193
_space_group_name_Hall '-P 6c 2'
loop_
_atom_site_label
_atom_site_fract_x
_atom_site_fract_y
_atom_site_fract_z
_atom_site_occupancy
Ce1 0.0000 0.3766 0.2500 1
Zn1 0.0000 0.0000 0.0000 1
Ge1 0.0000 0.2768 0.7500 1
Ge2 0.3333 0.6667 0.0000 1
# Energy of formation from the pure elements   -0.52 eV/atom
# V   21.4 Å³/atom
# Calculated total energy   -5.207 eV per atom


Entry 23:
# PBE-GGA Ce2Zn6Ge3, optimized geometry
data_Ce2Zn6Ge3
_cell_length_a 7.6626
_cell_length_b 7.6626
_cell_length_c 4.0778
_cell_angle_alpha 90.00
_cell_angle_beta 90.00
_cell_angle_gamma 120.00
_space_group_name_H-M_alt 'P -6 2 m'
_space_group_IT_number 189
_space_group_name_Hall 'P -6 -2'
loop_
_atom_site_label
_atom_site_fract_x
_atom_site_fract_y
_atom_site_fract_z
_atom_site_occupancy
Ce1 0.3333 0.6667 0.0000 1
Zn1 0.0000 0.1904 0.0000 1
Zn2 0.0000 0.7196 0.5000 1
Ge1 0.0000 0.3895 0.5000 1
# Energy of formation from the pure elements   -0.38 eV/atom
# V   18.9 Å³/atom
# Calculated total energy   -3.413 eV per atom